No. 1
In7BiPb4, relaxed, DFT PBE-GGA; crystal system = triclinic; total magnetization = 0.00 Bohr magnetons per cell; E_tot = -3.090 eV per atom; symmetry = No. 2
1.0
6.2294 0.0000 0.0000
1.4276 6.3189 0.0000
0.8949 0.7194 9.2624
In Bi Pb
7 1 4
Direct
0.0000 0.0000 0.0000
0.2174 0.5299 0.8951
0.2725 0.1697 0.6754
0.3608 0.7054 0.5724
0.6392 0.2946 0.4276
0.7275 0.8303 0.3246
0.7826 0.4701 0.1049
0.5000 0.0000 0.0000
0.1703 0.1068 0.3224
0.2532 0.6031 0.2343
0.7468 0.3969 0.7657
0.8297 0.8932 0.6776

No. 2
In5Bi6Pb4, relaxed, DFT PBE-GGA; crystal system = orthorhombic; total magnetization = 0.00 Bohr magnetons per cell; E_tot = -3.409 eV per atom; symmetry = No. 36
1.0
2.4158 -12.1031 0.0000
2.4158 12.1031 0.0000
0.0000 0.0000 17.0296
In Bi Pb
10 12 8
Direct
0.0455 0.9545 0.5000
0.1519 0.8481 0.7980
0.1720 0.8280 0.0978
0.1881 0.8119 0.4230
0.3285 0.6715 0.4519
0.6715 0.3285 0.9519
0.8119 0.1881 0.9230
0.8280 0.1720 0.5978
0.8481 0.1519 0.2980
0.9545 0.0455 0.0000
0.0516 0.9484 0.6830
0.0735 0.9265 0.2489
0.0791 0.9209 0.9560
0.2327 0.7673 0.5934
0.2675 0.7325 0.2776
0.3972 0.6028 0.9168
0.6028 0.3972 0.4168
0.7325 0.2675 0.7776
0.7673 0.2327 0.0934
0.9209 0.0791 0.4560
0.9265 0.0735 0.7489
0.9484 0.0516 0.1830
0.3270 0.6730 0.7419
0.3594 0.6406 0.1101
0.4490 0.5510 0.6159
0.4769 0.5231 0.3360
0.5231 0.4769 0.8360
0.5510 0.4490 0.1159
0.6406 0.3594 0.6101
0.6730 0.3270 0.2419

No. 3
InBi3Pb5, relaxed, DFT PBE-GGA; crystal system = monoclinic; total magnetization = 0.00 Bohr magnetons per cell; E_tot = -3.645 eV per atom; symmetry = No. 15; energy relative to the lowest polymorph listed for this composition = 0 meV/atom
1.0
8.5787 -4.9543 0.0000
8.5787 4.9543 0.0000
-0.0055 0.0000 6.7637
In Bi Pb
2 6 10
Direct
0.0000 0.0000 0.0000
0.0000 0.0000 0.5000
0.0002 0.3414 0.7496
0.9998 0.6586 0.2504
0.3414 0.0002 0.2496
0.3419 0.6581 0.7500
0.6581 0.3419 0.2500
0.6586 0.9998 0.7504
0.9999 0.3274 0.2494
0.0001 0.6726 0.7506
0.3274 0.9999 0.7494
0.3273 0.6727 0.2500
0.3329 0.3337 0.4985
0.3337 0.3329 0.9985
0.6663 0.6671 0.0015
0.6671 0.6663 0.5015
0.6726 0.0001 0.2506
0.6727 0.3273 0.7500

No. 4
In7BiPb3, relaxed, DFT PBE-GGA; crystal system = triclinic; total magnetization = 0.00 Bohr magnetons per cell; E_tot = -3.043 eV per atom; symmetry = No. 2
1.0
6.2723 0.0000 0.0000
-1.9056 6.9642 0.0000
-0.9025 -3.1328 7.6076
In Bi Pb
7 1 3
Direct
0.0000 0.0000 0.0000
0.0501 0.2383 0.5722
0.2859 0.4557 0.3377
0.4177 0.2706 0.8760
0.5823 0.7294 0.1240
0.7141 0.5443 0.6623
0.9499 0.7617 0.4278
0.0000 0.5000 0.0000
0.3295 0.7652 0.7772
0.5000 0.0000 0.5000
0.6705 0.2348 0.2228

No. 5
In4Bi5Pb4, relaxed, DFT PBE-GGA; crystal system = tetragonal; total magnetization = 0.00 Bohr magnetons per cell; E_tot = -3.431 eV per atom; symmetry = No. 87
1.0
-6.3145 6.3145 2.4978
6.3145 -6.3145 2.4978
6.3145 6.3145 -2.4978
In Bi Pb
4 5 4
Direct
0.0758 0.6102 0.6859
0.3898 0.0758 0.4656
0.6102 0.9242 0.5344
0.9242 0.3898 0.3141
0.0000 0.0000 0.0000
0.3016 0.4597 0.7614
0.4597 0.6984 0.1581
0.5403 0.3016 0.8419
0.6984 0.5403 0.2386
0.1500 0.2353 0.3854
0.2353 0.8500 0.0853
0.7647 0.1500 0.9147
0.8500 0.7647 0.6146

No. 6
In3Bi3Pb5, relaxed, DFT PBE-GGA; crystal system = hexagonal; total magnetization = 0.00 Bohr magnetons per cell; E_tot = -3.320 eV per atom; symmetry = No. 189
1.0
10.1002 0.0000 0.0000
-5.0501 8.7471 0.0000
0.0000 0.0000 4.4019
In Bi Pb
3 3 5
Direct
0.0000 0.8147 0.0000
0.1853 0.1853 0.0000
0.8147 0.0000 0.0000
0.0000 0.5933 0.5000
0.4067 0.4067 0.5000
0.5933 0.0000 0.5000
0.0000 0.3646 0.0000
0.3333 0.6667 0.0000
0.3646 0.0000 0.0000
0.6354 0.6354 0.0000
0.6667 0.3333 0.0000

No. 7
In2BiPb6, relaxed, DFT PBE-GGA; crystal system = hexagonal; total magnetization = 0.00 Bohr magnetons per cell; E_tot = -3.481 eV per atom; symmetry = No. 187; energy relative to the lowest polymorph listed for this composition = 18 meV/atom
1.0
3.4702 0.0000 0.0000
-1.7351 3.0053 0.0000
0.0000 0.0000 26.5839
In Bi Pb
2 1 6
Direct
0.0000 0.0000 0.1680
0.0000 0.0000 0.8320
0.6667 0.3333 0.5000
0.0000 0.0000 0.3869
0.0000 0.0000 0.6131
0.6667 0.3333 0.0626
0.6667 0.3333 0.2748
0.6667 0.3333 0.7252
0.6667 0.3333 0.9374

No. 8
In2BiPb, relaxed, DFT PBE-GGA; crystal system = tetragonal; total magnetization = 0.00 Bohr magnetons per cell; E_tot = -3.237 eV per atom; symmetry = No. 123; energy relative to the lowest polymorph listed for this composition = 5 meV/atom
1.0
4.1284 0.0000 0.0000
0.0000 4.1284 0.0000
0.0000 0.0000 6.9934
In Bi Pb
2 1 1
Direct
0.0000 0.0000 0.2406
0.0000 0.0000 0.7594
0.5000 0.5000 0.0000
0.5000 0.5000 0.5000

No. 9
In4Bi3Pb, relaxed, DFT PBE-GGA; crystal system = triclinic; total magnetization = 0.00 Bohr magnetons per cell; E_tot = -3.256 eV per atom; symmetry = No. 2
1.0
3.4114 0.0000 0.0000
0.1499 6.3509 0.0000
0.0004 2.5671 11.1066
In Bi Pb
4 3 1
Direct
0.2146 0.2363 0.4986
0.2781 0.8473 0.7454
0.7219 0.1527 0.2546
0.7854 0.7637 0.5014
0.3059 0.6542 0.2660
0.5000 0.0000 0.0000
0.6941 0.3458 0.7340
0.0000 0.5000 0.0000

No. 10
In12Bi7Pb2, relaxed, DFT PBE-GGA; crystal system = hexagonal; total magnetization = 0.00 Bohr magnetons per cell; E_tot = -3.167 eV per atom; symmetry = No. 174
1.0
14.5682 0.0000 0.0000
-7.2841 12.6165 0.0000
0.0000 0.0000 3.4513
In Bi Pb
12 7 2
Direct
0.0342 0.2492 0.0000
0.1489 0.7233 0.5000
0.2150 0.9658 0.0000
0.2767 0.4256 0.5000
0.4117 0.1569 0.5000
0.4995 0.3973 0.0000
0.5744 0.8511 0.5000
0.6027 0.1021 0.0000
0.7452 0.5883 0.5000
0.7508 0.7850 0.0000
0.8431 0.2548 0.5000
0.8979 0.5005 0.0000
0.0888 0.4808 0.5000
0.2311 0.2077 0.0000
0.3920 0.9112 0.5000
0.5192 0.6080 0.5000
0.6667 0.3333 0.5000
0.7923 0.0235 0.0000
0.9765 0.7689 0.0000
0.0000 0.0000 0.5000
0.3333 0.6667 0.0000

No. 11
In12BiPb3, relaxed, DFT PBE-GGA; crystal system = tetragonal; total magnetization = 0.00 Bohr magnetons per cell; E_tot = -2.971 eV per atom; symmetry = No. 123
1.0
5.1014 0.0000 0.0000
0.0000 5.1014 0.0000
0.0000 0.0000 17.5235
In Bi Pb
12 1 3
Direct
0.0000 0.0000 0.0000
0.0000 0.0000 0.2488
0.0000 0.0000 0.5000
0.0000 0.0000 0.7512
0.0000 0.5000 0.1259
0.0000 0.5000 0.3750
0.0000 0.5000 0.6250
0.0000 0.5000 0.8741
0.5000 0.0000 0.1259
0.5000 0.0000 0.3750
0.5000 0.0000 0.6250
0.5000 0.0000 0.8741
0.5000 0.5000 0.0000
0.5000 0.5000 0.2520
0.5000 0.5000 0.5000
0.5000 0.5000 0.7480

No. 12
In5Bi2Pb, relaxed, DFT PBE-GGA; crystal system = orthorhombic; total magnetization = 0.00 Bohr magnetons per cell; E_tot = -3.130 eV per atom; symmetry = No. 55
1.0
7.0545 0.0000 0.0000
0.0000 14.0861 0.0000
0.0000 0.0000 4.7523
In Bi Pb
10 4 2
Direct
0.0000 0.0000 0.0000
0.0048 0.2507 0.0000
0.2408 0.8728 0.5000
0.2592 0.3728 0.5000
0.4952 0.7507 0.0000
0.5000 0.5000 0.0000
0.5048 0.2493 0.0000
0.7408 0.6272 0.5000
0.7592 0.1272 0.5000
0.9952 0.7493 0.0000
0.2501 0.1273 0.5000
0.2499 0.6273 0.5000
0.7501 0.3727 0.5000
0.7499 0.8727 0.5000
0.0000 0.5000 0.0000
0.5000 0.0000 0.0000

| no. | calculated density (g cm⁻³) |
| --- | --- |
| 1 | 8.4 |
| 2 | 8.9 |
| 3 | 10.3 |
| 4 | 8.2 |
| 5 | 9.7 |
| 6 | 8.6 |
| 7 | 10.1 |
| 8 | 9.0 |
| 9 | 8.9 |
| 10 | 8.5 |
| 11 | 8.0 |
| 12 | 8.4 |